Record 1
KAc4Sn3O12: relaxed, PBE.

Unit cell a=7.806 b=7.806 c=7.806 alpha=109.47 beta=109.47 gamma=109.47
Atoms (fractional coordinates):
Sn  0.500  0.000  0.500
Sn  0.000  0.500  0.500
Sn  0.500  0.500  0.000
O  0.666  0.159  0.824
O  0.176  0.334  0.841
O  0.824  0.666  0.159
O  0.334  0.841  0.176
O  0.507  0.666  0.841
O  0.841  0.507  0.666
O  0.841  0.176  0.334
O  0.159  0.493  0.334
O  0.334  0.159  0.493
O  0.493  0.334  0.159
O  0.666  0.841  0.507
O  0.159  0.824  0.666
K  0.000  0.000  0.000
Ac  0.000  0.500  0.000
Ac  0.000  0.000  0.500
Ac  0.500  0.500  0.500
Ac  0.500  0.000  0.000

Volume (Å³ per atom): 18.30
E_form (uncorrected) (eV/atom): -2.286
Electronic total energy (eV/atom): -6.738
Total magnetic moment (μB/cell): 0.00

Record 2
LiB8: relaxed, PBE.

Unit cell a=3.282 b=5.923 c=4.468 alpha=93.97 beta=102.85 gamma=57.37
Atoms (fractional coordinates):
B  0.971  0.629  0.304
B  0.690  0.407  0.337
B  0.186  0.071  0.518
B  0.741  0.510  0.001
B  0.259  0.490  0.999
B  0.310  0.593  0.663
B  0.814  0.929  0.482
B  0.029  0.371  0.696
Li  0.000  0.000  0.000

Volume (Å³ per atom): 7.91
Formation enthalpy at 0 K (meV per atom): 216
Electronic total energy (eV/atom): -5.933
Total magnetic moment (μB/cell): 0.00